The following is a DFT calculation (PBE) of a geometry-optimized Rb2TcBrF6 structure.

```
data_Rb2TcBrF6
_space_group_name_H-M_alt 'F m -3 m'
_space_group_IT_number 225
_space_group_name_Hall '-F 4 2 3'
_cell_length_a 9.847
_cell_length_b 9.847
_cell_length_c 9.847
_cell_angle_alpha 90.00
_cell_angle_beta 90.00
_cell_angle_gamma 90.00
loop_
_atom_site_label
_atom_site_fract_x
_atom_site_fract_y
_atom_site_fract_z
Rb1 0.250 0.250 0.250
Tc1 0.000 0.000 0.000
Br1 0.000 0.000 0.500
F1 0.000 0.000 0.197
```

Values from the calculation:
Formation energy from raw total energies = -21.18 eV per formula unit
Electronic total energy = -4.638 eV/atom